No. 1
Here is an optimized crystal structure of KLa2Tl from the Alexandria database. Energies are from PBEsol.

a b c (Å): 4.9064 4.9064 6.4073
angles (deg): 112.51 112.51 90.00
With the nearest neighbours (Å) after each atom.
Atoms (fractional coordinates):
La (0.7500, 0.2500, 0.5000)  4 K 3.47, 4 Tl 3.64, 4 La 3.64
La (0.0000, 0.0000, 0.0000)  4 Tl 3.47, 4 K 3.64, 4 La 3.64
K (0.2500, 0.7500, 0.5000)  8 La 3.47-3.64, 4 Tl 3.64
Tl (0.5000, 0.5000, 0.0000)  8 La 3.47-3.64, 4 K 3.64

Summary:
- Energy relative to the lowest polymorph listed for this composition: 127 meV per atom
- Fermi-level density of states: 0.72 states/eV/atom
- ΔH_f (0 K): 0.12 eV/atom
- Electronic total energy: -3.4961 eV per atom



No. 2
Here is an optimized crystal structure of PPt2Se from the Alexandria database. Energies are from PBEsol.

a b c (Å): 4.4225 4.4231 4.4237
angles (deg): 111.56 111.55 105.37
With the nearest neighbours (Å) after each atom.
Atoms (fractional coordinates):
Pt (0.0000, 0.0000, 0.5000)  2 Se 2.49, 2 P 2.49, 2 Pt 2.68
Pt (0.5000, 0.5000, 0.5000)  2 P 2.49, 2 Se 2.49, 2 Pt 2.68
Se (0.5000, 0.0000, 0.0000)  4 Pt 2.49, 2 P 2.68
P (0.0000, 0.5000, 0.0000)  4 Pt 2.49, 2 Se 2.68

Summary:
- Energy relative to the lowest polymorph listed for this composition: 159 meV per atom
- Fermi-level density of states: 0.52 states/eV/atom
- Formation energy from raw total energies: -0.18 eV per formula unit
- Electronic total energy: -5.9368 eV per atom



No. 3
Here is an optimized crystal structure of CsSc3Cd from the Alexandria database. Energies are from PBEsol.

a b c (Å): 5.1742 5.1742 5.1742
angles (deg): 90.00 90.00 90.00
With the nearest neighbours (Å) after each atom.
Atoms (fractional coordinates):
Cd (0.5000, 0.5000, 0.5000)  12 Sc 3.66
Sc (0.5000, 0.0000, 0.0000)  2 Cs 2.59
Sc (0.0000, 0.5000, 0.0000)  2 Cs 2.59
Sc (0.0000, 0.0000, 0.5000)  2 Cs 2.59
Cs (0.0000, 0.0000, 0.0000)  6 Sc 2.59

Summary:
- Energy relative to the lowest polymorph listed for this composition: 641 meV per atom
- Fermi-level density of states: 1.16 states/eV/atom
- ΔH_f (0 K): 1.26 eV/atom
- Electronic total energy: -3.1290 eV per atom



No. 4
Here is an optimized crystal structure of Be4HgMo from the Alexandria database. Energies are from PBEsol.

a b c (Å): 4.5446 4.5446 4.5446
angles (deg): 60.00 60.00 60.00
With the nearest neighbours (Å) after each atom.
Atoms (fractional coordinates):
Be (0.8889, 0.3704, 0.3704)  6 Be 2.19-2.36
Be (0.3704, 0.3704, 0.3704)  6 Be 2.19-2.36
Be (0.3704, 0.8889, 0.3704)  6 Be 2.19-2.36
Be (0.3704, 0.3704, 0.8889)  6 Be 2.19-2.36
Mo (0.0000, 0.0000, 0.0000)  12 Be 2.66, 4 Hg 2.78
Hg (0.7500, 0.7500, 0.7500)  12 Be 2.67, 4 Mo 2.78

Summary:
- Fermi-level density of states: 0.40 states/eV/atom
- ΔH_f (0 K): 0.22 eV/atom
- Electronic total energy: -4.4987 eV per atom



No. 5
Here is an optimized crystal structure of TcIr2Rh from the Alexandria database. Energies are from PBEsol.

a b c (Å): 3.8002 3.8002 4.6772
angles (deg): 113.97 113.97 90.00
With the nearest neighbours (Å) after each atom.
Atoms (fractional coordinates):
Ir (0.2500, 0.7500, 0.5000)  4 Tc 2.69, 4 Rh 2.70, 4 Ir 2.70
Ir (0.0000, 0.0000, 0.0000)  4 Rh 2.69, 4 Tc 2.70, 4 Ir 2.70
Tc (0.7500, 0.2500, 0.5000)  8 Ir 2.69-2.70, 4 Rh 2.70
Rh (0.5000, 0.5000, 0.0000)  8 Ir 2.69-2.70, 4 Tc 2.70

Summary:
- Energy relative to the lowest polymorph listed for this composition: 31 meV per atom
- Fermi-level density of states: 1.08 states/eV/atom
- ΔH_f (0 K): -0.11 eV/atom
- Electronic total energy: -9.8754 eV per atom



No. 6
Here is an optimized crystal structure of MgCuRhAu2 from the Alexandria database. Energies are from PBEsol.

a b c (Å): 4.4097 4.5818 4.5818
angles (deg): 90.00 90.00 90.00
With the nearest neighbours (Å) after each atom.
Atoms (fractional coordinates):
Rh (0.5000, 0.5000, 0.5000)  8 Au 3.18, 4 Mg 3.24
Mg (0.5000, 0.0000, 0.0000)  2 Cu 2.20
Cu (0.0000, 0.0000, 0.0000)  2 Mg 2.20, 4 Au 2.29
Au (0.0000, 0.0000, 0.5000)  2 Cu 2.29
Au (0.0000, 0.5000, 0.0000)  2 Cu 2.29

Summary:
- Fermi-level density of states: 0.82 states/eV/atom
- ΔH_f (0 K): 0.71 eV/atom
- Electronic total energy: -3.6985 eV per atom



No. 7
Here is an optimized crystal structure of TaNi2Te3 from the Alexandria database. Energies are from PBEsol.

a b c (Å): 3.6626 7.4847 10.1531
angles (deg): 108.36 90.00 90.00
With the nearest neighbours (Å) after each atom.
Atoms (fractional coordinates):
Te (0.2500, 0.2844, 0.5046)  3 Ni 2.52-2.71
Te (0.7500, 0.7156, 0.4954)  3 Ni 2.52-2.71
Te (0.7500, 0.9519, 0.1668)  2 Ni 2.54-2.56, 2 Ta 2.77
Te (0.7500, 0.5856, 0.8383)  3 Ni 2.51-2.54, 1 Ta 2.71
Te (0.2500, 0.0481, 0.8332)  2 Ni 2.54-2.56, 2 Ta 2.77
Te (0.2500, 0.4144, 0.1617)  3 Ni 2.51-2.54, 1 Ta 2.71
Ni (0.2500, 0.9588, 0.5683)  2 Ni 2.49, 4 Te 2.52-2.71, 3 Ta 2.62-2.67
Ni (0.7500, 0.0412, 0.4317)  2 Ni 2.49, 4 Te 2.52-2.71, 3 Ta 2.62-2.67
Ni (0.2500, 0.4050, 0.9091)  4 Te 2.51-2.54, 2 Ni 2.67
Ni (0.7500, 0.5950, 0.0909)  4 Te 2.51-2.54, 2 Ni 2.67
Ta (0.2500, 0.7889, 0.2996)  5 Ni 2.62-2.83, 5 Te 2.71-2.88
Ta (0.7500, 0.2111, 0.7004)  5 Ni 2.62-2.83, 5 Te 2.71-2.88

Summary:
- Fermi-level density of states: 0.58 states/eV/atom
- Formation energy from raw total energies: -2.17 eV per formula unit
- Electronic total energy: -6.2692 eV per atom



No. 8
Here is an optimized crystal structure of LiCa2Mo from the Alexandria database. Energies are from PBEsol.

a b c (Å): 2.9607 5.1865 6.4661
angles (deg): 96.18 90.00 106.58
With the nearest neighbours (Å) after each atom.
Atoms (fractional coordinates):
Ca (0.2591, 0.5182, 0.2698)  2 Ca 2.96, 3 Mo 3.06-3.12, 3 Li 3.12-3.30
Ca (0.7409, 0.4818, 0.7302)  2 Ca 2.96, 3 Mo 3.06-3.12, 3 Li 3.12-3.30
Mo (0.0000, 0.0000, 0.5000)  2 Mo 2.96, 6 Ca 3.06-3.12
Li (0.5000, 0.0000, 0.0000)  2 Li 2.96, 6 Ca 3.12-3.30

Summary:
- Energy relative to the lowest polymorph listed for this composition: 184 meV per atom
- Fermi-level density of states: 1.06 states/eV/atom
- ΔH_f (0 K): 0.78 eV/atom
- Electronic total energy: -3.7187 eV per atom



Question: The highest Fermi-level density of states belongs to which entry?
Answer: CsSc3Cd



Repeat the seventh record exactly.
Here is an optimized crystal structure of TaNi2Te3 from the Alexandria database. Energies are from PBEsol.

a b c (Å): 3.6626 7.4847 10.1531
angles (deg): 108.36 90.00 90.00
With the nearest neighbours (Å) after each atom.
Atoms (fractional coordinates):
Te (0.2500, 0.2844, 0.5046)  3 Ni 2.52-2.71
Te (0.7500, 0.7156, 0.4954)  3 Ni 2.52-2.71
Te (0.7500, 0.9519, 0.1668)  2 Ni 2.54-2.56, 2 Ta 2.77
Te (0.7500, 0.5856, 0.8383)  3 Ni 2.51-2.54, 1 Ta 2.71
Te (0.2500, 0.0481, 0.8332)  2 Ni 2.54-2.56, 2 Ta 2.77
Te (0.2500, 0.4144, 0.1617)  3 Ni 2.51-2.54, 1 Ta 2.71
Ni (0.2500, 0.9588, 0.5683)  2 Ni 2.49, 4 Te 2.52-2.71, 3 Ta 2.62-2.67
Ni (0.7500, 0.0412, 0.4317)  2 Ni 2.49, 4 Te 2.52-2.71, 3 Ta 2.62-2.67
Ni (0.2500, 0.4050, 0.9091)  4 Te 2.51-2.54, 2 Ni 2.67
Ni (0.7500, 0.5950, 0.0909)  4 Te 2.51-2.54, 2 Ni 2.67
Ta (0.2500, 0.7889, 0.2996)  5 Ni 2.62-2.83, 5 Te 2.71-2.88
Ta (0.7500, 0.2111, 0.7004)  5 Ni 2.62-2.83, 5 Te 2.71-2.88

Summary:
- Fermi-level density of states: 0.58 states/eV/atom
- Formation energy from raw total energies: -2.17 eV per formula unit
- Electronic total energy: -6.2692 eV per atom